Material: BaSmP2Se8
Method: DFT, PBE-GGA
State: optimized geometry

abc: 6.3305 6.3305 9.7827
angles: 90.00 90.00 120.00
With the nearest neighbours (Å) after each atom.
Positions (direct):
Ba1 0.0000 0.0000 0.0000  12 Se 3.66-3.75
Sm1 0.0000 0.0000 0.5000  6 Se 2.96
P1 0.3333 0.6667 0.7577  4 Se 2.21-2.25
P2 0.6667 0.3333 0.2423  4 Se 2.21-2.25
Se1 0.0257 0.6553 0.3058  1 P 2.25
Se2 0.3333 0.6667 0.9836  1 P 2.21
Se3 0.3447 0.3704 0.3058  1 P 2.25
Se4 0.3704 0.0257 0.6942  1 P 2.25
Se5 0.6296 0.9743 0.3058  1 P 2.25
Se6 0.6553 0.6296 0.6942  1 P 2.25
Se7 0.6667 0.3333 0.0164  1 P 2.21
Se8 0.9743 0.3447 0.6942  1 P 2.25

Computed properties:
ρ = 4.80 g/cm3
Raw formation energy = -0.696 eV per atom

Material: TlI3
Method: DFT, PBE-GGA
State: optimized geometry

abc: 6.0546 6.0546 6.0546
angles: 60.00 60.00 60.00
With the nearest neighbours (Å) after each atom.
Positions (direct):
Tl1 0.0000 0.0000 0.0000  8 I 3.71
I1 0.2500 0.2500 0.2500  4 Tl 3.71, 4 I 3.71
I2 0.5000 0.5000 0.5000  8 I 3.71
I3 0.7500 0.7500 0.7500  4 Tl 3.71, 4 I 3.71

Computed properties:
ρ = 6.19 g/cm3
Raw formation energy = 0.008 eV per atom

Material: TlGaPb
Method: DFT, PBE-GGA
State: optimized geometry

abc: 5.0155 5.0155 5.0155
angles: 60.00 60.00 60.00
With the nearest neighbours (Å) after each atom.
Positions (direct):
Tl1 0.0000 0.0000 0.0000  4 Ga 3.07
Ga1 0.7500 0.7500 0.7500  4 Tl 3.07, 4 Pb 3.07
Pb1 0.5000 0.5000 0.5000  4 Ga 3.07

Computed properties:
Energy of formation from the pure elements = 0.09 eV per atom
ρ = 8.96 g/cm3
Polymorph energy (0 for the lowest one) = 56 meV per atom

Material: NaAgCl2F
Method: DFT, PBE-GGA
State: optimized geometry

abc: 5.0993 5.0993 4.3037
angles: 90.00 90.00 90.00
With the nearest neighbours (Å) after each atom.
Positions (direct):
Na1 0.0000 0.0000 0.0000  8 Cl 3.34, 4 F 3.61
Ag1 0.5000 0.5000 0.5000  2 F 2.15
Cl1 0.0000 0.5000 0.5000  2 Ag 2.55
Cl2 0.5000 0.0000 0.5000  2 Ag 2.55
F1 0.5000 0.5000 0.0000  2 Ag 2.15

Computed properties:
ρ = 3.28 g/cm3
Raw formation energy = -1.131 eV per atom

Material: La6ZnAg5
Method: DFT, PBE-GGA
State: optimized geometry

abc: 9.3713 9.3713 9.3713
angles: 146.32 132.54 59.45
With the nearest neighbours (Å) after each atom.
Positions (direct):
La1 0.0826 0.3343 0.7483  1 Zn 3.28, 7 Ag 3.30-3.34
La2 0.2469 0.0000 0.2469  6 Ag 3.27-3.32, 2 Zn 3.29
La3 0.4141 0.6657 0.7483  1 Zn 3.28, 7 Ag 3.30-3.34
La4 0.5859 0.3343 0.2517  1 Zn 3.28, 7 Ag 3.30-3.34
La5 0.7531 0.0000 0.7531  6 Ag 3.27-3.32, 2 Zn 3.29
La6 0.9174 0.6657 0.2517  1 Zn 3.28, 7 Ag 3.30-3.34
Zn1 0.0000 0.5000 0.5000  8 La 3.28-3.29
Ag1 0.1655 0.1655 0.0000  8 La 3.27-3.34
Ag2 0.3335 0.8335 0.5000  8 La 3.31
Ag3 0.5000 0.5000 0.0000  8 La 3.30-3.32
Ag4 0.6665 0.1665 0.5000  8 La 3.31
Ag5 0.8345 0.8345 0.0000  8 La 3.27-3.34

Computed properties:
Energy of formation from the pure elements = -0.26 eV per atom
ρ = 7.17 g/cm3

Material: MnSbPb2Se
Method: DFT, PBE-GGA
State: optimized geometry

abc: 5.4423 5.4423 4.3619
angles: 90.00 90.00 90.00
With the nearest neighbours (Å) after each atom.
Positions (direct):
Mn1 0.0000 0.0000 0.0000  2 Se 2.18
Sb1 0.5000 0.5000 0.5000  8 Pb 3.49, 4 Se 3.85
Pb1 0.0000 0.5000 0.0000  2 Mn 2.72
Pb2 0.5000 0.0000 0.0000  2 Mn 2.72
Se1 0.0000 0.0000 0.5000  2 Mn 2.18

Computed properties:
ρ = 8.61 g/cm3
Raw formation energy = 0.258 eV per atom

Material: Na3Ag4Sb4
Method: DFT, PBE-GGA
State: optimized geometry

abc: 8.9148 8.9148 8.9148
angles: 149.27 129.93 59.90
With the nearest neighbours (Å) after each atom.
Positions (direct):
Na1 0.0000 0.0000 0.0000  6 Sb 3.34-3.38
Na2 0.3744 0.8744 0.5000  6 Sb 3.37, 6 Ag 3.37-3.45
Na3 0.6256 0.1256 0.5000  6 Sb 3.37, 6 Ag 3.37-3.45
Ag1 0.0229 0.3274 0.6955  4 Sb 2.81-2.88, 1 Ag 2.95
Ag2 0.3681 0.6726 0.6955  4 Sb 2.81-2.88, 1 Ag 2.95
Ag3 0.6319 0.3274 0.3045  4 Sb 2.81-2.88, 1 Ag 2.95
Ag4 0.9771 0.6726 0.3045  4 Sb 2.81-2.88, 1 Ag 2.95
Sb1 0.2191 0.2191 0.0000  6 Ag 2.84-2.88
Sb2 0.3127 0.5000 0.8127  2 Ag 2.81, 1 Sb 2.83
Sb3 0.6873 0.5000 0.1873  2 Ag 2.81, 1 Sb 2.83
Sb4 0.7809 0.7809 0.0000  6 Ag 2.84-2.88

Computed properties:
ρ = 5.96 g/cm3
Polymorph energy (0 for the lowest one) = 0 meV per atom
Raw formation energy = -0.182 eV per atom

Material: BeAg3F6
Method: DFT, PBE-GGA
State: optimized geometry

abc: 5.5363 5.5363 5.8226
angles: 120.44 120.44 61.36
With the nearest neighbours (Å) after each atom.
Positions (direct):
Be1 0.0000 0.0000 0.0000  6 F 1.73-1.94
Ag1 0.2417 0.2417 0.7597  5 F 2.33-2.47
Ag2 0.5000 0.5000 0.5000  2 F 2.16
Ag3 0.7583 0.7583 0.2403  5 F 2.33-2.47
F1 0.1569 0.7243 0.1381  1 Be 1.73
F2 0.2324 0.2324 0.3515  1 Be 1.94, 1 Ag 2.16
F3 0.2757 0.8431 0.8619  1 Be 1.73
F4 0.7243 0.1569 0.1381  1 Be 1.73
F5 0.7676 0.7676 0.6485  1 Be 1.94, 1 Ag 2.16
F6 0.8431 0.2757 0.8619  1 Be 1.73

Computed properties:
ρ = 5.86 g/cm3
Raw formation energy = -1.579 eV per atom

Material: Dy4TmTh
Method: DFT, PBE-GGA
State: optimized geometry

abc: 3.5367 6.1297 9.3740
angles: 77.33 79.18 73.40
With the nearest neighbours (Å) after each atom.
Positions (direct):
Dy1 0.1654 0.0003 0.1694  2 Th 3.52, 7 Dy 3.52-3.59, 3 Tm 3.54-3.56
Dy2 0.1654 0.5049 0.6636  7 Dy 3.50-3.57, 3 Th 3.51-3.56, 2 Tm 3.56
Dy3 0.8346 0.9997 0.8306  2 Th 3.52, 7 Dy 3.52-3.59, 3 Tm 3.54-3.56
Dy4 0.8346 0.4951 0.3364  7 Dy 3.50-3.57, 3 Th 3.51-3.56, 2 Tm 3.56
Tm1 0.5000 0.5000 0.0000  2 Tm 3.54, 10 Dy 3.54-3.56
Th1 0.5000 0.0000 0.5000  10 Dy 3.51-3.56, 2 Th 3.54

Computed properties:
Energy of formation from the pure elements = 0.03 eV per atom
ρ = 9.27 g/cm3
Polymorph energy (0 for the lowest one) = 0 meV per atom

Material: TiNbIr2Pb
Method: DFT, PBE-GGA
State: optimized geometry

abc: 4.8961 4.8961 5.0939
angles: 90.00 90.00 90.00
With the nearest neighbours (Å) after each atom.
Positions (direct):
Ti1 0.0000 0.0000 0.0000  4 Nb 3.46, 8 Ir 3.53
Nb1 0.5000 0.5000 0.0000  2 Pb 2.55
Ir1 0.0000 0.5000 0.5000  2 Pb 2.45
Ir2 0.5000 0.0000 0.5000  2 Pb 2.45
Pb1 0.5000 0.5000 0.5000  4 Ir 2.45, 2 Nb 2.55

Computed properties:
Energy of formation from the pure elements = 2.00 eV per atom
ρ = 9.96 g/cm3

Material: Hf8Ge2Bi
Method: DFT, PBE-GGA
State: optimized geometry

abc: 8.1709 8.1709 5.4293
angles: 92.11 92.11 40.66
With the nearest neighbours (Å) after each atom.
Positions (direct):
Hf1 0.0944 0.0944 0.0812  1 Ge 2.62
Hf2 0.1415 0.6514 0.4105  4 Hf 2.78-3.09, 2 Ge 2.80-2.88
Hf3 0.2847 0.2847 0.8588  4 Ge 2.77-3.07
Hf4 0.3486 0.8585 0.5895  4 Hf 2.78-3.09, 2 Ge 2.80-2.88
Hf5 0.6514 0.1415 0.4105  4 Hf 2.78-3.09, 2 Ge 2.80-2.88
Hf6 0.7153 0.7153 0.1412  4 Ge 2.77-3.07
Hf7 0.8585 0.3486 0.5895  4 Hf 2.78-3.09, 2 Ge 2.80-2.88
Hf8 0.9056 0.9056 0.9188  1 Ge 2.62
Ge1 0.2405 0.2405 0.3482  7 Hf 2.62-2.88
Ge2 0.7595 0.7595 0.6518  7 Hf 2.62-2.88
Bi1 0.5000 0.5000 0.0000  10 Hf 3.14-3.36

Computed properties:
Energy of formation from the pure elements = -0.19 eV per atom
ρ = 12.54 g/cm3

Material: Pm3Er2ScTe6
Method: DFT, PBE-GGA
State: optimized geometry

abc: 9.8180 9.8180 8.8356
angles: 104.36 104.36 25.45
With the nearest neighbours (Å) after each atom.
Positions (direct):
Pm1 0.0000 0.0000 0.0000  6 Te 3.15-3.19
Pm2 0.3301 0.3301 0.6633  6 Te 3.15-3.17
Pm3 0.6699 0.6699 0.3367  6 Te 3.15-3.17
Er1 0.3341 0.3341 0.1675  6 Te 3.03-3.05
Er2 0.6659 0.6659 0.8325  6 Te 3.03-3.05
Sc1 0.0000 0.0000 0.5000  6 Te 2.95-2.99
Te1 0.1594 0.1594 0.5885  1 Sc 2.95, 2 Er 3.03, 3 Pm 3.15-3.17
Te2 0.1697 0.1697 0.0769  3 Er 3.04-3.05, 3 Pm 3.15
Te3 0.4989 0.4989 0.2653  2 Sc 2.99, 1 Er 3.05, 3 Pm 3.17-3.19
Te4 0.5011 0.5011 0.7347  2 Sc 2.99, 1 Er 3.05, 3 Pm 3.17-3.19
Te5 0.8303 0.8303 0.9231  3 Er 3.04-3.05, 3 Pm 3.15
Te6 0.8406 0.8406 0.4115  1 Sc 2.95, 2 Er 3.03, 3 Pm 3.15-3.17

Computed properties:
ρ = 7.41 g/cm3
Raw formation energy = -1.292 eV per atom

Material: RbTeSe
Method: DFT, PBE-GGA
State: optimized geometry

abc: 5.3699 5.5704 7.8312
angles: 83.23 89.27 89.81
With the nearest neighbours (Å) after each atom.
Positions (direct):
Rb1 0.0000 0.0000 0.0000  4 Se 3.42-3.75, 1 Te 3.73
Rb2 0.0025 0.6035 0.5575  4 Se 3.41-3.65, 1 Te 3.69
Te1 0.4298 0.3191 0.2679  1 Se 2.61
Te2 0.4964 0.0975 0.6301  1 Se 2.61
Se1 0.4951 0.4199 0.8462  1 Te 2.61
Se2 0.5362 0.7736 0.2765  1 Te 2.61

Computed properties:
ρ = 4.17 g/cm3
Polymorph energy (0 for the lowest one) = 11 meV per atom
Raw formation energy = -0.644 eV per atom

Material: MgRhF
Method: DFT, PBE-GGA
State: optimized geometry

abc: 3.2394 3.2394 10.3503
angles: 90.00 90.00 120.00
With the nearest neighbours (Å) after each atom.
Positions (direct):
Mg1 0.3333 0.6667 0.2500  3 F 1.87
Mg2 0.6667 0.3333 0.7500  3 F 1.87
Rh1 0.0000 0.0000 0.0000  2 F 2.59
Rh2 0.0000 0.0000 0.5000  2 F 2.59
F1 0.0000 0.0000 0.2500  3 Mg 1.87
F2 0.0000 0.0000 0.7500  3 Mg 1.87

Computed properties:
ρ = 5.16 g/cm3
Polymorph energy (0 for the lowest one) = 807 meV per atom
Raw formation energy = -0.863 eV per atom

Material: PaTlHg
Method: DFT, PBE-GGA
State: optimized geometry

abc: 7.7298 7.7298 7.7298
angles: 156.05 156.05 34.13
With the nearest neighbours (Å) after each atom.
Positions (direct):
Pa1 0.0000 0.0000 0.0000  4 Pa 3.21, 4 Hg 3.29, 4 Tl 3.40
Tl1 0.3285 0.3285 0.0000  4 Tl 3.21, 4 Hg 3.35, 4 Pa 3.40
Hg1 0.6613 0.6613 0.0000  4 Hg 3.21, 4 Pa 3.29, 4 Tl 3.35

Computed properties:
Energy of formation from the pure elements = 0.20 eV per atom
ρ = 13.89 g/cm3
Polymorph energy (0 for the lowest one) = 92 meV per atom

Material: MgOsRu
Method: DFT, PBE-GGA
State: optimized geometry

abc: 4.7804 2.7972 6.9691
angles: 90.00 103.92 90.00
With the nearest neighbours (Å) after each atom.
Positions (direct):
Mg1 0.0000 0.0000 0.0000  2 Os 2.72-2.86, 6 Ru 2.73-2.82, 4 Mg 2.80-2.91
Mg2 0.0088 0.5000 0.6351  2 Ru 2.63-2.83, 6 Os 2.71-2.84, 4 Mg 2.80-2.91
Os1 0.5304 0.0000 0.6564  4 Ru 2.65-2.67, 5 Mg 2.71-2.86, 3 Os 2.80-2.87
Os2 0.7111 0.0000 0.2919  4 Ru 2.63-2.64, 3 Mg 2.72-2.84, 3 Os 2.80-2.87
Ru1 0.2681 0.5000 0.3416  4 Os 2.63-2.65, 3 Mg 2.63-2.79, 2 Ru 2.80
Ru2 0.4782 0.5000 0.9718  4 Os 2.64-2.67, 5 Mg 2.73-2.83, 2 Ru 2.80

Computed properties:
Energy of formation from the pure elements = 0.16 eV per atom
ρ = 11.59 g/cm3
Polymorph energy (0 for the lowest one) = 91 meV per atom

Material: SmGdHoEr
Method: DFT, PBE-GGA
State: optimized geometry

abc: 5.6731 5.6731 5.6731
angles: 60.00 60.00 60.00
With the nearest neighbours (Å) after each atom.
Positions (direct):
Sm1 0.0000 0.0000 0.0000  4 Ho 3.47, 4 Er 3.47
Gd1 0.5000 0.5000 0.5000  4 Ho 3.47, 4 Er 3.47
Ho1 0.7500 0.7500 0.7500  4 Gd 3.47, 4 Sm 3.47
Er1 0.2500 0.2500 0.2500  4 Gd 3.47, 4 Sm 3.47

Computed properties:
Energy of formation from the pure elements = 0.11 eV per atom
ρ = 8.23 g/cm3

Material: K5Rb4Cd
Method: DFT, PBE-GGA
State: optimized geometry

abc: 10.7542 10.7542 10.7542
angles: 96.54 96.54 140.55
With the nearest neighbours (Å) after each atom.
Positions (direct):
K1 0.0000 0.0000 0.0000  2 Cd 3.49-3.77
K2 0.2151 0.5586 0.9995  1 Cd 3.61
K3 0.2157 0.2151 0.6566  1 Cd 3.61
K4 0.5591 0.2157 0.0005  1 Cd 3.61
K5 0.5586 0.5591 0.3434  1 Cd 3.61
Rb1 0.1780 0.8610 0.3172  7 K 4.65-5.00, 1 Cd 5.17, 4 Rb 5.19
Rb2 0.5438 0.8607 0.6828  7 K 4.65-5.00, 1 Cd 5.17, 4 Rb 5.19
Rb3 0.8607 0.1780 0.3169  7 K 4.65-5.00, 1 Cd 5.17, 4 Rb 5.19
Rb4 0.8610 0.5438 0.6831  7 K 4.65-5.00, 1 Cd 5.17, 4 Rb 5.19
Cd1 0.5187 0.5187 0.0000  6 K 3.49-3.77

Computed properties:
Energy of formation from the pure elements = 0.02 eV per atom
ρ = 1.45 g/cm3

Material: ReMoBr3
Method: DFT, PBE-GGA
State: optimized geometry

abc: 5.3638 5.3638 5.3638
angles: 90.00 90.00 90.00
With the nearest neighbours (Å) after each atom.
Positions (direct):
Re1 0.0000 0.0000 0.0000  12 Br 3.79
Mo1 0.5000 0.5000 0.5000  6 Br 2.68
Br1 0.0000 0.5000 0.5000  2 Mo 2.68
Br2 0.5000 0.0000 0.5000  2 Mo 2.68
Br3 0.5000 0.5000 0.0000  2 Mo 2.68

Computed properties:
ρ = 5.62 g/cm3
Polymorph energy (0 for the lowest one) = 0 meV per atom
Raw formation energy = 1.221 eV per atom

Material: AlTl2Hg
Method: DFT, PBE-GGA
State: optimized geometry

abc: 5.5796 5.5796 5.5796
angles: 127.58 127.58 77.31
With the nearest neighbours (Å) after each atom.
Positions (direct):
Al1 0.0000 0.0000 0.0000  8 Tl 3.29, 4 Hg 3.49
Tl1 0.2500 0.7500 0.5000  4 Hg 3.29, 4 Al 3.29, 4 Tl 3.49
Tl2 0.7500 0.2500 0.5000  4 Hg 3.29, 4 Al 3.29, 4 Tl 3.49
Hg1 0.5000 0.5000 0.0000  8 Tl 3.29, 4 Al 3.49

Computed properties:
Energy of formation from the pure elements = 0.19 eV per atom
ρ = 9.98 g/cm3
Polymorph energy (0 for the lowest one) = 77 meV per atom